Entry 1:
Here is TbCe3Dy4S8 after structural relaxation from the Alexandria database. Energies are from PBE.

Cell and atoms, written as POSCAR:
```
TbCe3Dy4S8
1.0
-2.109 6.628 -3.714
-7.406 -2.728 -0.665
3.423 0.374 7.093
Tb Ce Dy S
1 3 4 8
direct
0.000 0.500 0.000
0.500 0.500 0.000
0.500 0.500 0.500
0.000 0.500 0.500
0.500 0.000 0.000
0.500 0.000 0.500
0.000 0.000 0.000
0.000 0.000 0.500
0.251 0.758 0.007
0.251 0.758 0.502
0.246 0.239 0.492
0.756 0.758 0.007
0.244 0.242 0.993
0.754 0.761 0.508
0.749 0.242 0.498
0.749 0.242 0.993
```

## Properties
Energy relative to the elements, uncorrected, meV/atom: -2023.5

Entry 2:
Here is Na4Np3Te8 after structural relaxation from the Alexandria database. Energies are from PBE.

Cell and atoms, written as POSCAR:
```
Na4Np3Te8
1.0
-4.350 -2.694 -7.203
-0.372 -4.702 7.581
-2.628 7.272 4.465
Na Np Te
4 3 8
direct
0.500 0.000 0.000
0.000 0.500 0.000
0.000 0.000 0.000
0.000 0.000 0.500
0.500 0.500 0.000
0.500 0.000 0.500
0.500 0.500 0.500
0.524 0.270 0.270
0.000 0.744 0.256
0.029 0.267 0.267
0.500 0.745 0.255
0.500 0.255 0.745
0.971 0.733 0.733
0.000 0.256 0.744
0.476 0.730 0.730
```

## Properties
Energy relative to the elements, uncorrected, meV/atom: -659.4

Entry 3:
Here is Y3SnRh2 after structural relaxation from the Alexandria database. Energies are from PBE.

Cell and atoms, written as POSCAR:
```
Y3SnRh2
1.0
-1.631 -1.881 2.341
-2.235 -1.018 -2.376
6.792 -9.025 -2.522
Y Sn Rh
3 1 2
direct
0.000 0.000 0.000
0.000 0.000 0.699
0.000 0.000 0.301
0.500 0.500 0.500
0.500 0.500 0.846
0.500 0.500 0.154
```

## Properties
Formation enthalpy at 0 K, eV per atom: -0.782

Entry 4:
Here is La2TmPbC after structural relaxation from the Alexandria database. Energies are from PBE.

Cell and atoms, written as POSCAR:
```
La2TmPbC
1.0
4.887 0.000 0.000
0.000 5.249 0.000
0.000 0.000 5.249
La Tm Pb C
2 1 1 1
direct
0.000 0.000 0.500
0.000 0.500 0.000
0.500 0.000 0.000
0.500 0.500 0.500
0.000 0.000 0.000
```

## Properties
Formation enthalpy at 0 K, eV per atom: -0.440

Entry 5:
Here is TlIn2Co after structural relaxation from the Alexandria database. Energies are from PBE.

Cell and atoms, written as POSCAR:
```
TlIn2Co
1.0
5.202 -0.020 0.000
-1.946 4.824 0.000
0.000 0.000 3.494
Co In Tl
1 2 1
direct
0.000 0.500 0.500
0.000 0.000 0.000
0.500 0.500 0.000
0.500 0.000 0.500
```

## Properties
Formation enthalpy at 0 K, eV per atom: 0.469

Entry 6:
Here is HfCuO3 after structural relaxation from the Alexandria database. Energies are from PBE.

Cell and atoms, written as POSCAR:
```
HfCuO3
1.0
4.052 0.000 0.000
0.000 4.052 0.000
0.000 0.000 4.052
Hf O Cu
1 3 1
direct
0.000 0.000 0.000
0.000 0.500 0.000
0.000 0.000 0.500
0.500 0.000 0.000
0.500 0.500 0.500
```

## Properties
Energy relative to the elements, uncorrected, meV/atom: -1698.0

Entry 7:
Here is Y12Er6Sc after structural relaxation from the Alexandria database. Energies are from PBE.

Cell and atoms, written as POSCAR:
```
Y12Er6Sc
1.0
8.451 0.512 -1.541
-1.933 8.242 -1.541
0.381 0.512 8.582
Y Er Sc
12 6 1
direct
0.590 0.167 0.589
0.167 0.589 0.590
0.589 0.590 0.167
0.410 0.833 0.411
0.833 0.411 0.410
0.411 0.410 0.833
0.262 0.000 0.738
0.262 0.738 0.000
0.000 0.262 0.738
0.738 0.000 0.262
0.738 0.262 0.000
0.000 0.738 0.262
0.137 0.137 0.405
0.863 0.595 0.863
0.595 0.863 0.863
0.863 0.863 0.595
0.137 0.405 0.137
0.405 0.137 0.137
0.000 0.000 0.000
```

## Properties
Formation enthalpy at 0 K, eV per atom: 0.148

Entry 8:
Here is TaV2W after structural relaxation from the Alexandria database. Energies are from PBE.

Cell and atoms, written as POSCAR:
```
TaV2W
1.0
4.635 0.000 0.000
0.000 5.231 0.000
0.000 0.000 10.318
Ta V W
4 8 4
direct
0.750 0.818 0.319
0.750 0.318 0.181
0.250 0.182 0.681
0.250 0.682 0.819
0.750 0.860 0.040
0.250 0.140 0.960
0.750 0.360 0.460
0.250 0.640 0.540
0.750 0.967 0.817
0.250 0.533 0.317
0.750 0.467 0.683
0.250 0.033 0.183
0.250 0.089 0.418
0.750 0.911 0.582
0.250 0.589 0.082
0.750 0.411 0.918
```

## Properties
Formation enthalpy at 0 K, eV per atom: 0.140

no.,spin magnetization (μB/f.u.)
1,1.80
2,8.98
3,0.00
4,0.00
5,1.43
6,1.00
7,0.00
8,0.00